Record 1
Sc2Ga2Re | the Alexandria database | GGA-PBE | relaxed; energy of formation from the pure elements = 0.037 eV per atom; excess energy over the best structure of this formula in the dataset = 377.8 meV/atom
1.0
-2.374 -2.380 0.896
0.821 -1.877 -2.812
4.846 -6.116 3.346
Ga Sc Re
2 2 1
direct
0.250 0.750 0.500
0.750 0.250 0.500
0.591 0.591 0.818
0.409 0.409 0.182
0.000 0.000 0.000



Record 2
ScGaRe2 | the Alexandria database | GGA-PBE | relaxed; energy of formation from the pure elements = 0.599 eV per atom
1.0
7.594 0.000 0.000
0.000 7.594 0.000
3.797 3.797 2.509
Ga Re Sc
2 4 2
direct
0.000 0.000 0.000
0.750 0.250 0.500
0.686 0.125 0.250
0.064 0.625 0.250
0.875 0.936 0.750
0.375 0.314 0.750
0.500 0.500 0.000
0.250 0.750 0.500